Density functional theory data (GGA+U) for an optimized crystal structure of TiCrI2O.

Geometry as POSCAR:
```
TiCrI2O
1.0
5.7545 0.0000 0.0000
0.0000 5.7545 0.0000
0.0000 0.0000 3.6876
I O Ti Cr
2 1 1 1
Cartesian
0.0000 2.8773 0.0000
2.8773 0.0000 0.0000
0.0000 0.0000 1.8438
2.8773 2.8773 1.8438
0.0000 0.0000 0.0000
```

Calculated values
The value obtained for the total energy is -4.981 eV per atom. The calculation puts the density of states at the Fermi level at 3.00 states/eV/f.u. Its symmetry is P4/mmm, No. 123.